1.
Computed, not measured: crystalline NaPmAs2Au4 at its relaxed geometry at the PBE-GGA level of DFT.

Unit cell a=5.261 b=5.261 c=6.944 alpha=90.00 beta=90.00 gamma=90.00
Positions (direct):
Na: 0.000 0.000 0.000
Pm: 0.000 0.000 0.500
As: 0.500 0.500 0.317
As: 0.500 0.500 0.683
Au: 0.000 0.500 0.270
Au: 0.500 0.000 0.730
Au: 0.500 0.000 0.270
Au: 0.000 0.500 0.730

Properties
As for the total energy: -0.1396 Ha/atom. Its formation energy is -0.2376 eV per atom. The space group is No. 123. As for the density of states at the Fermi level: 4.87 states/eV/f.u.

***

2.
Computed, not measured: crystalline Rb2TeAu at its relaxed geometry at the PBE-GGA level of DFT.

Unit cell a=12.919 b=12.919 c=9.556 alpha=47.47 beta=47.47 gamma=90.00
Positions (direct):
Te: 0.500 0.500 0.000
Te: 0.250 0.750 0.500
Au: 0.000 0.000 0.000
Au: 0.750 0.250 0.500
Rb: 0.834 0.125 0.250
Rb: 0.916 0.625 0.250
Rb: 0.375 0.166 0.750
Rb: 0.875 0.084 0.750

Properties
For the uncorrected formation energy, the calculation gives -0.503 eV per atom. As for the total energy: -0.0952 Ha/atom. The space group is No. 122. As for the density of states at the Fermi level: 0.93 states/eV/f.u.

***

3.
Computed, not measured: crystalline Ba2YHgH at its relaxed geometry at the PBE-GGA level of DFT.

Unit cell a=6.749 b=4.024 c=6.749 alpha=90.00 beta=90.00 gamma=90.00
Positions (direct):
Y: 0.000 0.000 0.000
H: 0.000 0.500 0.000
Hg: 0.500 0.500 0.500
Ba: 0.000 0.000 0.500
Ba: 0.500 0.000 0.000

Properties
As for the total energy: -0.0956 Ha/atom. The space group is No. 123. As for the density of states at the Fermi level: 4.17 states/eV/f.u.